Density functional theory data (PBE-GGA) for a relaxed Tl8InHg4 crystal.

Output
E_form in kcal/mol of atoms: 2.9
Energy above the most stable polymorph in this dataset in eV/atom: 0.1134
Total DFT energy (no corrections) in eV per formula unit: -21.23
Calculated volume in Å³ per cell: 439.4

Lattice parameters (Å, degrees): 8.5335 8.5335 8.5335 60.00 60.00 60.00
Fractional positions:
Tl 0.3164 0.8946 0.8946
Tl 0.4005 0.4005 0.4005
Tl 0.4005 0.4005 0.7985
Tl 0.4005 0.7985 0.4005
Tl 0.7985 0.4005 0.4005
Tl 0.8946 0.3164 0.8946
Tl 0.8946 0.8946 0.3164
Tl 0.8946 0.8946 0.8946
In 0.7500 0.7500 0.7500
Hg 0.1493 0.1493 0.1493
Hg 0.1493 0.1493 0.5520
Hg 0.1493 0.5520 0.1493
Hg 0.5520 0.1493 0.1493